Density functional theory data (GGA-PBEsol) for a relaxed structure of H6PbCBr3N.

Lattice parameters (Å, degrees): 5.8871 5.8593 6.0088 90.00 88.85 90.00
With the nearest neighbours (Å) after each atom.
Sites, in units of the cell vectors:
Pb (0.4673, 0.5000, 0.4863)  6 Br 2.92-3.04
H (0.2298, 0.8556, 0.0007)  1 N 1.05
H (0.1415, 0.0000, 0.2255)  1 N 1.04
H (0.8167, 0.8459, 0.0229)  1 C 1.10
H (0.9167, 0.0000, 0.7810)  1 C 1.10
H (0.8167, 0.1541, 0.0229)  1 C 1.10
H (0.2298, 0.1444, 0.0007)  1 N 1.05
C (0.9058, 0.0000, 0.9638)  3 H 1.10
Br (0.4346, 0.5000, 0.9813)  2 H 2.41
Br (0.4205, 0.0000, 0.5297)  1 H 2.48
Br (0.9604, 0.5000, 0.4282)  2 Pb 2.92-3.01
N (0.1386, 0.0000, 0.0521)  3 H 1.04-1.05

mass density: 3.8 g/cm³
space-group type: Pm (6)
relative energy among the computed polymorphs: 6 meV per atom

Density functional theory data (GGA-PBEsol) for a relaxed structure of MgRh.

Lattice parameters (Å, degrees): 3.6044 3.6044 3.6044 60.00 60.00 60.00
With the nearest neighbours (Å) after each atom.
Sites, in units of the cell vectors:
Mg (0.0000, 0.0000, 0.0000)  6 Rh 2.55
Rh (0.5000, 0.5000, 0.5000)  6 Mg 2.55

mass density: 6.4 g/cm³
space-group type: Fm-3m (225)
formation energy from the elements: 0.25 eV/atom

Density functional theory data (GGA-PBEsol) for a relaxed structure of Gd3MoO7.

Lattice parameters (Å, degrees): 7.4097 7.4318 10.5085 90.00 90.00 90.00
With the nearest neighbours (Å) after each atom.
Sites, in units of the cell vectors:
Gd (0.0337, 0.5109, 0.7420)  6 O 2.29-2.45
Gd (0.4663, 0.4891, 0.2420)  6 O 2.29-2.45
Gd (0.5337, 0.9891, 0.2580)  6 O 2.29-2.45
Gd (0.9663, 0.0109, 0.7580)  6 O 2.29-2.45
Gd (0.2830, 0.2553, 0.9701)  6 O 2.25-2.38
Gd (0.2170, 0.7447, 0.4701)  6 O 2.25-2.38
Gd (0.7830, 0.2447, 0.0299)  6 O 2.25-2.38
Gd (0.7170, 0.7553, 0.5299)  6 O 2.25-2.38
Gd (0.3041, 0.2476, 0.5152)  6 O 2.22-2.42
Gd (0.1959, 0.7524, 0.0152)  6 O 2.22-2.42
Gd (0.8041, 0.2524, 0.4848)  6 O 2.22-2.42
Gd (0.6959, 0.7476, 0.9848)  6 O 2.22-2.42
Mo (0.5036, 0.4981, 0.7508)  6 O 1.87-2.09
Mo (0.9964, 0.5019, 0.2508)  6 O 1.87-2.09
Mo (0.0036, 0.0019, 0.2492)  6 O 1.87-2.09
Mo (0.4964, 0.9981, 0.7492)  6 O 1.87-2.09
O (0.4414, 0.2476, 0.7366)  2 Mo 1.90-1.92
O (0.0586, 0.7524, 0.2366)  2 Mo 1.90-1.92
O (0.9414, 0.2524, 0.2634)  2 Mo 1.90-1.92
O (0.5586, 0.7476, 0.7634)  2 Mo 1.90-1.92
O (0.2184, 0.4661, 0.3703)  1 Mo 2.09, 3 Gd 2.29-2.32
O (0.2816, 0.5339, 0.8703)  1 Mo 2.09, 3 Gd 2.29-2.32
O (0.7184, 0.0339, 0.6297)  1 Mo 2.09, 3 Gd 2.29-2.32
O (0.7816, 0.9661, 0.1297)  1 Mo 2.09, 3 Gd 2.29-2.32
O (0.8716, 0.5482, 0.4025)  1 Mo 1.87
O (0.6284, 0.4518, 0.9025)  1 Mo 1.87
O (0.3716, 0.9518, 0.5975)  1 Mo 1.87
O (0.1284, 0.0482, 0.0975)  1 Mo 1.87
O (0.1845, 0.4653, 0.1219)  1 Mo 1.96
O (0.3155, 0.5347, 0.6219)  1 Mo 1.96
O (0.6845, 0.0347, 0.8781)  1 Mo 1.96
O (0.8155, 0.9653, 0.3781)  1 Mo 1.96
O (0.7928, 0.5279, 0.1351)  1 Mo 1.95
O (0.7072, 0.4721, 0.6351)  1 Mo 1.95
O (0.2928, 0.9721, 0.8649)  1 Mo 1.95
O (0.2072, 0.0279, 0.3649)  1 Mo 1.95
O (0.0419, 0.2439, 0.6168)  4 Gd 2.22-2.38
O (0.4581, 0.7561, 0.1168)  4 Gd 2.22-2.38
O (0.5419, 0.2561, 0.3832)  4 Gd 2.22-2.38
O (0.9581, 0.7439, 0.8832)  4 Gd 2.22-2.38
O (0.0013, 0.2678, 0.8814)  4 Gd 2.25-2.34
O (0.4987, 0.7322, 0.3814)  4 Gd 2.25-2.34
O (0.5013, 0.2322, 0.1186)  4 Gd 2.25-2.34
O (0.9987, 0.7678, 0.6186)  4 Gd 2.25-2.34

mass density: 7.8 g/cm³
formation energy (no corrections): -3.07 eV per atom
space-group type: P2_12_12_1 (19)